The following is a PBE calculation of a geometry-optimized SrBi3Rh structure, from Alexandria via LeMat-Bulk.

Values from the calculation:
The density of states at the Fermi level comes out at 7.05 states/eV per cell. As for the energy of formation from the pure elements: -0.1331 eV/atom. For the energy above the most stable polymorph in this dataset, the calculation gives 273.4 meV/atom.

Cell: 5.4415 5.4415 5.4415 Å, 90.00 90.00 90.00°
With the nearest neighbours (Å) after each atom.
Positions (direct):
Sr 0.5000 0.5000 0.5000  12 Bi 3.85
Rh 0.0000 0.0000 0.0000  6 Bi 2.72
Bi 0.0000 0.5000 0.0000  2 Rh 2.72
Bi 0.0000 0.0000 0.5000  2 Rh 2.72
Bi 0.5000 0.0000 0.0000  2 Rh 2.72